{
  "formula": "CoTeW",
  "functional": "PBE",
  "state": "optimized geometry",
  "density_g_cm3": 10.7,
  "de_polymorph_mev_per_atom": 157.8,
  "total_energy_ev_per_fu": -20.982,
  "spacegroup": "F-43m",
  "cell": [[4.328, 0.000, 0.000], [2.164, 3.748, 0.000], [2.164, 1.249, 3.534]],
  "species": ["Co", "Te", "W"],
  "fractional_positions": [[0.000, 0.000, 0.000], [0.500, 0.500, 0.500], [0.750, 0.750, 0.750]]
}